PrNd7Er2 PBE relaxed; excess energy over the best structure of this formula in the dataset = 0.000 eV per formula unit; symmetry = No. 2; spin magnetization = 0.00 μB per cell; ΔH_f (0 K) = 0.018 eV/atom
1.0
6.270 -0.863 -0.226
-0.996 9.152 -2.920
-0.873 -0.267 6.239
Pr Nd Er
1 7 2
Direct
0.000 0.000 0.000
0.097 0.697 0.201
0.903 0.303 0.799
0.397 0.796 0.797
0.603 0.204 0.203
0.698 0.898 0.401
0.302 0.102 0.599
0.500 0.500 0.000
0.798 0.597 0.598
0.202 0.403 0.402

---

HfSb2TePd PBE relaxed; excess energy over the best structure of this formula in the dataset = 0.032 eV per formula unit; symmetry = No. 123; spin magnetization = 0.00 μB per cell
1.0
-5.058 -0.193 -0.832
-0.421 -3.785 3.437
-0.762 3.544 3.811
Sb Te Hf Pd
2 1 1 1
Direct
0.000 0.500 0.000
0.500 0.000 0.000
0.000 0.000 0.500
0.500 0.500 0.500
0.000 0.000 0.000

---

Q: Look up the excess energy over the best structure of this formula in the dataset of the first one.
A: 0.000 eV per formula unit

---

Q: Which formula does entry 2 have?
A: HfSb2TePd

---

Q: Number 2 is which compound?
A: HfSb2TePd